# Zr2SiOs PBE-GGA optimized geometry
data_Zr2SiOs
_space_group_name_H-M_alt 'R 3 m'
_space_group_IT_number 160
_space_group_name_Hall 'R 3 -2"'
_cell_length_a 3.2014
_cell_length_b 3.2014
_cell_length_c 25.4229
_cell_angle_alpha 90.00
_cell_angle_beta 90.00
_cell_angle_gamma 120.00
loop_
_atom_site_label
_atom_site_type_symbol
_atom_site_fract_x
_atom_site_fract_y
_atom_site_fract_z
Zr1 Zr 0.0000 0.0000 0.0000
Zr2 Zr 0.0000 0.0000 0.2352
Si1 Si 0.0000 0.0000 0.7524
Os1 Os 0.0000 0.0000 0.4808
# formation energy from raw total energies: -45 meV per atom
# total magnetization: 0.00 μB per cell
# crystal system: trigonal